(1)
Material: CoPS2N
Method: DFT, GGA-PBE
State: relaxed

Unit cell a=4.6708 b=4.6708 c=3.1881 alpha=90.00 beta=90.00 gamma=90.00
Closest atoms and distances in Å follow each position.
Fractional positions:
1 Co 0.5000 0.5000 0.5000  8 S 2.83
2 S 0.5000 0.0000 0.0000  2 P 2.34
3 S 0.0000 0.5000 0.0000  2 P 2.34
4 N 0.0000 0.0000 0.5000  2 P 1.59
5 P 0.0000 0.0000 0.0000  2 N 1.59

Calculated values
- Offset from the most stable computed form: 0.7956 eV per atom
- Density of states at the Fermi level: 0.82 states/eV per atom
- SG: P4/mmm (123)
- Uncorrected formation energy: 0.7438 eV per atom


(2)
Material: CaAs2SeS
Method: DFT, GGA-PBE
State: relaxed

Unit cell a=5.4908 b=5.2511 c=5.4908 alpha=90.00 beta=90.00 gamma=90.00
Closest atoms and distances in Å follow each position.
Fractional positions:
1 Ca 0.0000 0.0000 0.0000  2 Se 2.63, 4 As 2.75
2 As 0.0000 0.0000 0.5000  2 Ca 2.75
3 S 0.5000 0.5000 0.5000  8 As 3.80, 4 Se 3.88
4 As 0.5000 0.0000 0.0000  2 Ca 2.75
5 Se 0.0000 0.5000 0.0000  2 Ca 2.63

Calculated values
- Offset from the most stable computed form: 0.9854 eV per atom
- Density of states at the Fermi level: 1.25 states/eV per atom
- SG: P4/mmm (123)
- Uncorrected formation energy: 0.9311 eV per atom


(3)
Material: PuCr2SiN
Method: DFT, GGA-PBE
State: relaxed

Unit cell a=3.4513 b=5.6612 c=7.3510 alpha=90.00 beta=90.00 gamma=107.75
Closest atoms and distances in Å follow each position.
Fractional positions:
1 Cr 0.1702 0.3404 0.9478  1 N 1.88
2 Si 0.7408 0.4815 0.7500  6 Cr 2.38-2.42
3 Pu 0.4633 0.9265 0.7500  4 N 2.55
4 Pu 0.5367 0.0735 0.2500  4 N 2.55
5 Cr 0.8298 0.6596 0.0522  1 N 1.88
6 Cr 0.1702 0.3404 0.5522  1 N 1.88
7 N 0.0000 0.0000 0.0000  2 Cr 1.88
8 N 0.0000 0.0000 0.5000  2 Cr 1.88
9 Si 0.2592 0.5185 0.2500  6 Cr 2.38-2.42
10 Cr 0.8298 0.6596 0.4478  1 N 1.88

Calculated values
- Density of states at the Fermi level: 1.94 states/eV per atom
- SG: Cmcm (63)
- Uncorrected formation energy: -0.6179 eV per atom


(4)
Material: FeAsRu
Method: DFT, GGA-PBE
State: relaxed

Unit cell a=2.8561 b=2.8561 c=5.9205 alpha=90.00 beta=90.00 gamma=120.00
Closest atoms and distances in Å follow each position.
Fractional positions:
1 As 0.0000 0.0000 0.0027  3 Fe 2.54, 3 Ru 2.58
2 Fe 0.6667 0.3333 0.3298  3 As 2.54, 3 Ru 2.59
3 Ru 0.3333 0.6667 0.6674  3 As 2.58, 3 Fe 2.59, 6 Ru 2.86

Calculated values
- Energy relative to the elements: 0.186 eV/atom
- Density of states at the Fermi level: 1.29 states/eV per atom
- SG: P3m1 (156)


(5)
Material: SrTlZn
Method: DFT, GGA-PBE
State: relaxed

Unit cell a=4.8914 b=6.3913 c=6.3319 alpha=77.54 beta=67.28 gamma=67.50
Closest atoms and distances in Å follow each position.
Fractional positions:
1 Zn 0.1492 0.8074 0.8941  1 Zn 2.67, 2 Tl 2.87
2 Sr 0.4552 0.7951 0.2945  5 Zn 3.38-3.51, 6 Tl 3.45-3.67
3 Tl 0.8231 0.6129 0.7410  3 Zn 2.87-3.14, 1 Tl 3.21
4 Tl 0.1769 0.3871 0.2590  3 Zn 2.87-3.14, 1 Tl 3.21
5 Sr 0.5448 0.2049 0.7055  5 Zn 3.38-3.51, 6 Tl 3.45-3.67
6 Zn 0.8508 0.1926 0.1059  1 Zn 2.67, 2 Tl 2.87

Calculated values
- Energy relative to the elements: -0.302 eV/atom
- Density of states at the Fermi level: 0.62 states/eV per atom
- SG: C2/m (12)


(6)
Material: Ac3HoPb4
Method: DFT, GGA-PBE
State: relaxed

Unit cell a=5.8110 b=9.0818 c=11.1178 alpha=90.00 beta=90.00 gamma=90.00
Closest atoms and distances in Å follow each position.
Fractional positions:
1 Pb 0.5645 0.8675 0.7331  1 Ho 3.13, 1 Pb 3.20, 1 Ac 3.51
2 Pb 0.0645 0.1325 0.2331  1 Ho 3.13, 1 Pb 3.20, 1 Ac 3.51
3 Ac 0.0646 0.6598 0.2038  4 Pb 3.31-3.57
4 Pb 0.0642 0.9251 0.0000  4 Ac 3.20-3.31, 2 Pb 3.20
5 Ho 0.0642 0.3263 0.0000  4 Pb 3.13-3.28
6 Ac 0.5643 0.0732 0.0000  4 Pb 3.20-3.51
7 Pb 0.0645 0.1325 0.7669  1 Ho 3.13, 1 Pb 3.20, 1 Ac 3.51
8 Pb 0.5642 0.0749 0.5000  4 Ac 3.20-3.31, 2 Pb 3.20
9 Pb 0.0643 0.5074 0.5000  2 Ho 3.27-3.28, 2 Ac 3.57
10 Ac 0.5646 0.3402 0.7038  4 Pb 3.31-3.57
11 Ac 0.0646 0.6598 0.7962  4 Pb 3.31-3.57
12 Ho 0.5642 0.6737 0.5000  4 Pb 3.13-3.28
13 Pb 0.5643 0.4926 0.0000  2 Ho 3.27-3.28, 2 Ac 3.57
14 Ac 0.0643 0.9268 0.5000  4 Pb 3.20-3.51
15 Ac 0.5646 0.3402 0.2962  4 Pb 3.31-3.57
16 Pb 0.5645 0.8675 0.2669  1 Ho 3.13, 1 Pb 3.20, 1 Ac 3.51

Calculated values
- Energy relative to the elements: -0.308 eV/atom
- Density of states at the Fermi level: 0.84 states/eV per atom
- SG: Pmmn (59)


(7)
Material: NaCO3
Method: DFT, GGA-PBE
State: relaxed

Unit cell a=9.0879 b=3.6582 c=8.7616 alpha=70.23 beta=90.00 gamma=90.00
Closest atoms and distances in Å follow each position.
Fractional positions:
1 Na 0.5030 0.5657 0.2029  6 O 2.35-2.53
2 O 0.8589 0.9704 0.8245  1 C 1.29
3 O 0.8355 0.6078 0.0795  1 C 1.28
4 O 0.6339 0.8241 0.9333  1 C 1.28
5 O 0.6645 0.6078 0.5795  1 C 1.28
6 O 0.1339 0.1759 0.5667  1 C 1.28
7 O 0.8661 0.8241 0.4333  1 C 1.28
8 O 0.1645 0.3922 0.9205  1 C 1.28
9 O 0.3355 0.3922 0.4205  1 C 1.28
10 C 0.7744 0.8026 0.9456  3 O 1.28-1.29
11 Na 0.9970 0.5657 0.7029  6 O 2.35-2.53
12 C 0.2744 0.1974 0.5544  3 O 1.28-1.29
13 O 0.3661 0.1759 0.0667  1 C 1.28
14 O 0.6411 0.9704 0.3245  1 C 1.29
15 C 0.2256 0.1974 0.0544  3 O 1.28-1.29
16 Na 0.0030 0.4343 0.2971  6 O 2.35-2.53
17 O 0.1411 0.0296 0.1755  1 C 1.29
18 Na 0.4970 0.4343 0.7971  6 O 2.35-2.53
19 C 0.7256 0.8026 0.4456  3 O 1.28-1.29
20 O 0.3589 0.0296 0.6755  1 C 1.29

Calculated values
- SG: P2_1/c (14)
- Uncorrected formation energy: -1.3661 eV per atom


(8)
Material: Na2Ag2BiSe4
Method: DFT, GGA-PBE
State: relaxed

Unit cell a=4.1185 b=8.2133 c=7.5212 alpha=113.50 beta=90.00 gamma=104.52
Closest atoms and distances in Å follow each position.
Fractional positions:
1 Na 0.1371 0.2742 0.5619  7 Se 3.12-3.47, 1 Ag 3.46
2 Se 0.4947 0.9894 0.2813  1 Ag 2.70, 2 Bi 2.98
3 Ag 0.3166 0.6331 0.0210  4 Se 2.70-2.78, 2 Ag 2.88
4 Se 0.2055 0.4110 0.2263  3 Ag 2.70-2.78, 1 Bi 3.00
5 Ag 0.6834 0.3669 0.9790  4 Se 2.70-2.78, 2 Ag 2.88
6 Na 0.8629 0.7258 0.4381  7 Se 3.12-3.47, 1 Ag 3.46
7 Bi 0.0000 0.0000 0.0000  6 Se 2.98-3.00
8 Se 0.5053 0.0106 0.7187  1 Ag 2.70, 2 Bi 2.98
9 Se 0.7945 0.5890 0.7737  3 Ag 2.70-2.78, 1 Bi 3.00

Calculated values
- Density of states at the Fermi level: 0.55 states/eV per atom
- SG: C2/m (12)
- Uncorrected formation energy: -0.4825 eV per atom


(9)
Material: Cs2ReO4
Method: DFT, GGA-PBE
State: relaxed

Unit cell a=6.2745 b=6.8357 c=8.5370 alpha=90.00 beta=107.02 gamma=90.00
Closest atoms and distances in Å follow each position.
Fractional positions:
1 O 0.2623 0.5396 0.6984  1 Re 1.81
2 O 0.7377 0.4604 0.3016  1 Re 1.81
3 Re 0.1267 0.7500 0.7551  4 O 1.80-1.83
4 Cs 0.2760 0.2500 0.9879  5 O 3.05-3.25
5 Cs 0.4025 0.7500 0.3821  6 O 3.11-3.40
6 O 0.1730 0.2500 0.3157  1 Re 1.80
7 O 0.8270 0.7500 0.6843  1 Re 1.80
8 Cs 0.5975 0.2500 0.6179  6 O 3.11-3.40
9 O 0.2623 0.9604 0.6984  1 Re 1.81
10 O 0.8058 0.2500 0.0214  1 Re 1.83
11 O 0.7377 0.0396 0.3016  1 Re 1.81
12 Re 0.8733 0.2500 0.2449  4 O 1.80-1.83
13 O 0.1942 0.7500 0.9786  1 Re 1.83
14 Cs 0.7240 0.7500 0.0121  5 O 3.05-3.25

Calculated values
- Offset from the most stable computed form: 0.0567 eV per atom
- Density of states at the Fermi level: 0.72 states/eV per atom
- SG: P2_1/m (11)
- Uncorrected formation energy: -1.7089 eV per atom


(10)
Material: ScReSbI2
Method: DFT, GGA-PBE
State: relaxed

Unit cell a=5.2375 b=5.3047 c=5.2375 alpha=90.00 beta=90.00 gamma=90.00
Closest atoms and distances in Å follow each position.
Fractional positions:
1 Sc 0.0000 0.5000 0.0000  2 Re 2.65
2 Sb 0.5000 0.5000 0.5000  4 Sc 3.70, 8 I 3.73
3 Re 0.0000 0.0000 0.0000  4 I 2.62, 2 Sc 2.65
4 I 0.5000 0.0000 0.0000  2 Re 2.62
5 I 0.0000 0.0000 0.5000  2 Re 2.62

Calculated values
- Offset from the most stable computed form: 0.0000 eV per atom
- Density of states at the Fermi level: 1.11 states/eV per atom
- SG: P4/mmm (123)
- Uncorrected formation energy: 0.7412 eV per atom


(11)
Material: Ca2Ag4Hg
Method: DFT, GGA-PBE
State: relaxed

Unit cell a=4.1963 b=4.1963 c=9.9265 alpha=102.20 beta=102.20 gamma=90.00
Closest atoms and distances in Å follow each position.
Fractional positions:
1 Ca 0.3976 0.3976 0.7952  4 Ag 3.09
2 Ag 0.7500 0.2500 0.5000  8 Ag 2.85-2.97
3 Ag 0.8514 0.8514 0.7029  1 Hg 2.81, 4 Ag 2.85, 4 Ca 3.09
4 Ag 0.1486 0.1486 0.2971  1 Hg 2.81, 4 Ag 2.85, 4 Ca 3.09
5 Ag 0.2500 0.7500 0.5000  8 Ag 2.85-2.97
6 Ca 0.6024 0.6024 0.2048  4 Ag 3.09
7 Hg 0.0000 0.0000 0.0000  2 Ag 2.81

Calculated values
- Energy relative to the elements: -0.248 eV/atom
- Density of states at the Fermi level: 0.56 states/eV per atom
- SG: I4/mmm (139)


(12)
Material: TaTiMnMo
Method: DFT, GGA-PBE
State: relaxed

Unit cell a=3.1122 b=3.1122 c=6.2559 alpha=90.00 beta=90.00 gamma=90.00
Closest atoms and distances in Å follow each position.
Fractional positions:
1 Mo 0.0000 0.0000 0.8527  4 Ti 2.72, 4 Ta 2.77
2 Ta 0.5000 0.5000 0.1207  4 Mn 2.65, 4 Mo 2.77
3 Mn 0.0000 0.0000 0.3577  4 Ta 2.65, 4 Ti 2.66
4 Ti 0.5000 0.5000 0.5969  4 Mn 2.66, 4 Mo 2.72, 1 Ta 2.98

Calculated values
- Energy relative to the elements: -0.162 eV/atom
- Offset from the most stable computed form: 0.0000 eV per atom
- Density of states at the Fermi level: 0.82 states/eV per atom
- SG: P4mm (99)